First-principles (PBE) data for crystalline Ce2AlGa4Au3 at its relaxed geometry, as listed in the Alexandria database.

## Properties
formation energy: -0.59 eV per atom

```
Ce2AlGa4Au3
1.0
-0.396 3.698 -2.148
0.168 -2.142 -3.718
-11.020 -1.101 0.135
Ce Al Ga Au
2 1 4 3
Direct
0.500 0.000 0.251 Ce
0.000 0.500 0.749 Ce
0.500 0.500 0.500 Al
0.500 0.500 0.000 Ga
0.000 0.000 0.000 Ga
0.500 0.000 0.638 Ga
0.000 0.500 0.362 Ga
0.000 0.000 0.500 Au
0.500 0.000 0.864 Au
0.000 0.500 0.136 Au
```